Compound: TbMgH8Rh2
Source: Alexandria via LeMat-Bulk
Functional: GGA-PBE
Structure: relaxed

POSCAR file:
```
TbMgH8Rh2
1.0
4.8059 0.0000 0.0000
2.4029 4.1620 0.0000
2.4029 1.3873 5.3281
Mg H Rh Tb
1 8 2 1
direct
0.0000 0.0000 0.0000 Mg
0.3477 0.8965 0.1595 H
0.4037 0.6523 0.8405 H
0.1885 0.1885 0.4346 H
0.1035 0.4037 0.8405 H
0.8115 0.8115 0.5654 H
0.5963 0.3477 0.1595 H
0.6523 0.1035 0.8405 H
0.8965 0.5963 0.1595 H
0.7042 0.7042 0.8874 Rh
0.2958 0.2958 0.1126 Rh
0.5000 0.5000 0.5000 Tb
```

Computed properties:
Uncorrected energy in eV/f.u.: -50.68
Total magnetic moment in Bohr magnetons per cell: 0.00
Symmetry: No. 148

Compound: Mg2TcHRh
Source: Alexandria via LeMat-Bulk
Functional: GGA-PBE
Structure: relaxed

POSCAR file:
```
Mg2TcHRh
1.0
-2.5770 2.9012 1.9396
-2.5192 -3.2150 1.4619
1.9523 -0.2085 2.9057
H Tc Mg Rh
1 1 2 1
direct
0.0000 0.0000 0.0000 H
0.0000 0.0000 0.5000 Tc
0.0000 0.5000 0.0000 Mg
0.5000 0.0000 0.0000 Mg
0.5000 0.5000 0.5000 Rh
```

Computed properties:
Uncorrected energy in eV/f.u.: -24.32
Total magnetic moment in Bohr magnetons per cell: 1.22
Symmetry: No. 123